Below is an optimized crystal structure of LiMnVO4, with properties calculated at the PBE+U level.

Unit cell a=5.000 b=6.278 c=10.784 alpha=90.00 beta=90.00 gamma=90.00
Each line ends with the local moment (μB).
Fractional coordinates of all 28 atoms:
O 0.274 0.470 0.163  0.02
Mn 0.020 0.750 0.727  4.62
O 0.213 0.250 0.441  0.00
O 0.730 0.250 0.593  0.00
Mn 0.980 0.250 0.273  4.62
V 0.078 0.250 0.590  0.14
Li 0.500 0.500 0.500  0.00
O 0.274 0.030 0.163  0.02
Li 0.500 0.000 0.500  0.00
O 0.230 0.750 0.907  0.00
V 0.422 0.250 0.090  0.14
V 0.578 0.750 0.910  0.14
O 0.270 0.750 0.407  0.00
O 0.713 0.750 0.059  0.00
O 0.774 0.530 0.337  0.02
O 0.226 0.470 0.663  0.02
V 0.922 0.750 0.410  0.14
O 0.726 0.530 0.837  0.02
Li 0.000 0.500 0.000  0.00
Mn 0.520 0.250 0.773  4.62
O 0.287 0.250 0.941  0.00
O 0.787 0.750 0.559  0.00
Li 0.000 0.000 0.000  0.00
O 0.226 0.030 0.663  0.02
O 0.774 0.970 0.337  0.02
Mn 0.480 0.750 0.227  4.62
O 0.726 0.970 0.837  0.02
O 0.770 0.250 0.093  0.00

Values from the calculation:
* space group: No. 62
* total DFT energy (no corrections): -201.53 eV per cell
* crystal system: orthorhombic